Computed, not measured: an optimized crystal structure of TaV3Ag at the GGA-PBE level of DFT.

POSCAR file:
```
TaV3Ag
1.0
4.650 0.000 0.000
0.000 4.650 0.000
0.000 0.000 4.650
V Ta Ag
3 1 1
direct
0.000 0.500 0.000
0.500 0.000 0.000
0.000 0.000 0.500
0.000 0.000 0.000
0.500 0.500 0.500
```

## Properties
- N(E_F) (states/eV/f.u.) = 6.32
- total energy (eV/atom) = -6.905
- spin magnetization (μB per atom) = 0.527
- polymorph energy (0 for the lowest one) (meV/atom) = 0
- space group = Pm-3m